First-principles (PBE-GGA) data for NdLu2Mg after structural relaxation, as listed in the Alexandria database.

CIF file:
```
data_NdLu2Mg
_chemical_formula_sum 'Nd1 Lu2 Mg1'
_space_group_name_H-M_alt 'P 4/m m m'
_space_group_IT_number 123
_space_group_name_Hall '-P 4 2'
_cell_length_a 3.591
_cell_length_b 3.591
_cell_length_c 9.101
_cell_angle_alpha 90.00
_cell_angle_beta 90.00
_cell_angle_gamma 90.00
loop_
_atom_site_label
_atom_site_fract_x
_atom_site_fract_y
_atom_site_fract_z
Nd1 0.000 0.000 0.000
Lu1 0.500 0.500 0.274
Mg1 0.000 0.000 0.500
```

Properties
**Energy relative to the elements**: -0.016 eV/atom
**N(E_F)**: 4.94 states/eV per cell
**Total magnetization**: 0.0 μB per formula unit
**Calculated density**: 7.34 g/cm³
**Offset from the most stable computed form**: 0 meV/atom